First-principles (PBE-GGA) data for crystalline Ta2SnF at its relaxed geometry, as listed in Alexandria via LeMat-Bulk.

Unit cell a=4.6147 b=4.6147 c=4.6147 alpha=60.00 beta=60.00 gamma=60.00
Closest atoms and distances in Å follow each position.
Fractional positions:
1 Sn 0.5000 0.5000 0.5000  8 Ta 2.83
2 Ta 0.2500 0.2500 0.2500  4 Sn 2.83, 4 F 2.83
3 Ta 0.7500 0.7500 0.7500  4 F 2.83, 4 Sn 2.83
4 F 0.0000 0.0000 0.0000  8 Ta 2.83

Calculated values
The density of states at the Fermi level is 0.7844 states/eV per atom. The calculation puts the formation energy from raw total energies at 12 meV per atom. The space group is No. 225.